[1]
The following is a DFT calculation (PBE) of a relaxed structure of LaAlP2.

Output
Magnetization: 0.000 μB per atom
Electronic total energy: -5.6600 eV per atom
ΔE_f: -0.788 eV per atom
Symmetry: No. 8

abc: 6.3284 6.3284 4.3276
angles: 92.33 92.33 35.59
Element x y z (fractional)
1 La 0.0000 0.0000 0.0000
2 Al 0.7297 0.7297 0.7012
3 P 0.2989 0.2989 0.9524
4 P 0.5519 0.5519 0.5042

***

[2]
The following is a DFT calculation (PBE) of a relaxed structure of CuSb3C.

Output
E_form (uncorrected): 1094 meV/atom
Magnetization: 0.000 μB per atom
Energy above the lowest structure with this stoichiometry: 0.00 eV/f.u.
Electronic total energy: -4.0436 eV per atom
Symmetry: No. 221

abc: 4.7290 4.7290 4.7290
angles: 90.00 90.00 90.00
Element x y z (fractional)
1 Cu 0.0000 0.0000 0.0000
2 Sb 0.0000 0.5000 0.5000
3 Sb 0.5000 0.0000 0.5000
4 Sb 0.5000 0.5000 0.0000
5 C 0.5000 0.5000 0.5000

***

[3]
The following is a DFT calculation (PBE) of a relaxed structure of Fe2TeIr.

Output
E_form (uncorrected): 298 meV/atom
Magnetization: 1.335 μB per atom
Electronic total energy: -6.9344 eV per atom
Symmetry: No. 99

abc: 3.1270 3.1270 6.2633
angles: 90.00 90.00 90.00
Element x y z (fractional)
1 Fe 0.0000 0.0000 0.0000
2 Fe 0.5000 0.5000 0.2135
3 Te 0.5000 0.5000 0.7481
4 Ir 0.0000 0.0000 0.4407

***

[4]
The following is a DFT calculation (PBE) of a relaxed structure of Nd3SiN5.

Output
E_form (uncorrected): -1019 meV/atom
Magnetization: 0.174 μB per atom
Electronic total energy: -7.8363 eV per atom
Symmetry: No. 140

abc: 7.3227 7.3227 7.3227
angles: 124.98 124.98 81.57
Element x y z (fractional)
1 Nd 0.1783 0.6783 0.8566
2 Nd 0.2500 0.2500 0.0000
3 Nd 0.3217 0.1783 0.5000
4 Nd 0.6783 0.8217 0.5000
5 Nd 0.7500 0.7500 0.0000
6 Nd 0.8217 0.3217 0.1434
7 Si 0.2500 0.7500 0.5000
8 Si 0.7500 0.2500 0.5000
9 N 0.0000 0.0000 0.0000
10 N 0.0101 0.7913 0.5000
11 N 0.2087 0.7087 0.2188
12 N 0.2913 0.5101 0.5000
13 N 0.4899 0.9899 0.7812
14 N 0.5000 0.5000 0.0000
15 N 0.5101 0.0101 0.2188
16 N 0.7087 0.4899 0.5000
17 N 0.7913 0.2913 0.7812
18 N 0.9899 0.2087 0.5000